Record 1
Computed, not measured: an optimized crystal structure of PaTiS3 at the PBE-GGA level of DFT.

Values from the calculation:
Magnetic moment, μB per formula unit: 0.3
Crystal system: monoclinic
Total energy, eV per atom: -7.50

Cell: 7.058 3.665 7.480 Å, 90.00 95.99 90.00°
Positions (direct):
Pa  0.131  0.250  0.271
Pa  0.869  0.750  0.729
Ti  0.370  0.750  0.867
Ti  0.630  0.250  0.133
S  0.130  0.250  0.888
S  0.203  0.750  0.549
S  0.415  0.750  0.197
S  0.585  0.250  0.803
S  0.797  0.250  0.451
S  0.870  0.750  0.112

Record 2
Computed, not measured: an optimized crystal structure of Pa6TiS12 at the PBE-GGA level of DFT.

Values from the calculation:
Magnetic moment, μB per formula unit: 10.0
Crystal system: trigonal
Total energy, eV per atom: -7.55

Cell: 7.748 7.748 7.748 Å, 99.38 99.38 99.38°
Positions (direct):
Pa  0.130  0.297  0.633
Pa  0.297  0.633  0.130
Pa  0.367  0.870  0.703
Pa  0.633  0.131  0.297
Pa  0.703  0.367  0.869
Pa  0.869  0.703  0.367
Ti  0.000  0.000  0.000
S  0.027  0.933  0.684
S  0.067  0.316  0.973
S  0.179  0.571  0.431
S  0.316  0.973  0.067
S  0.429  0.569  0.821
S  0.431  0.179  0.571
S  0.569  0.821  0.429
S  0.571  0.431  0.179
S  0.684  0.027  0.933
S  0.821  0.429  0.569
S  0.933  0.684  0.027
S  0.973  0.067  0.316

Record 3
Computed, not measured: an optimized crystal structure of PaTiS3 at the PBE-GGA level of DFT.

Values from the calculation:
Magnetic moment, μB per formula unit: 1.9
Crystal system: orthorhombic
Total energy, eV per atom: -7.12

Cell: 7.412 7.412 4.614 Å, 90.00 90.00 129.34°
Positions (direct):
Pa  0.160  0.840  0.000
Pa  0.840  0.160  0.000
Ti  0.388  0.612  0.500
Ti  0.612  0.388  0.500
S  0.000  0.500  0.500
S  0.212  0.212  0.500
S  0.368  0.632  0.000
S  0.500  0.000  0.500
S  0.632  0.368  0.000
S  0.788  0.788  0.500

Record 4
Computed, not measured: an optimized crystal structure of Pa3Ti5S12 at the PBE-GGA level of DFT.

Values from the calculation:
Magnetic moment, μB per formula unit: 10.0
Crystal system: cubic
Total energy, eV per atom: -7.19

Cell: 13.044 13.044 13.044 Å, 109.47 109.47 109.47°
Positions (direct):
Pa  0.125  0.250  0.375
Pa  0.125  0.375  0.750
Pa  0.250  0.375  0.125
Pa  0.250  0.875  0.625
Pa  0.375  0.125  0.250
Pa  0.375  0.750  0.125
Pa  0.625  0.250  0.875
Pa  0.625  0.875  0.750
Pa  0.750  0.125  0.375
Pa  0.750  0.625  0.875
Pa  0.875  0.625  0.250
Pa  0.875  0.750  0.625
Ti  0.000  0.000  0.000
Ti  0.000  0.000  0.500
Ti  0.000  0.500  0.000
Ti  0.000  0.500  0.500
Ti  0.125  0.750  0.875
Ti  0.125  0.875  0.250
Ti  0.250  0.125  0.875
Ti  0.250  0.625  0.375
Ti  0.375  0.250  0.625
Ti  0.375  0.625  0.750
Ti  0.500  0.000  0.000
Ti  0.500  0.000  0.500
Ti  0.500  0.500  0.000
Ti  0.500  0.500  0.500
Ti  0.625  0.375  0.250
Ti  0.625  0.750  0.375
Ti  0.750  0.375  0.625
Ti  0.750  0.875  0.125
Ti  0.875  0.125  0.750
Ti  0.875  0.250  0.125
S  0.037  0.214  0.124
S  0.037  0.322  0.913
S  0.087  0.624  0.409
S  0.087  0.963  0.678
S  0.091  0.714  0.678
S  0.091  0.876  0.413
S  0.124  0.037  0.214
S  0.124  0.587  0.909
S  0.178  0.214  0.591
S  0.178  0.463  0.587
S  0.214  0.124  0.037
S  0.214  0.591  0.178
S  0.286  0.322  0.909
S  0.286  0.463  0.376
S  0.322  0.909  0.286
S  0.322  0.913  0.037
S  0.376  0.286  0.463
S  0.376  0.591  0.913
S  0.409  0.087  0.624
S  0.409  0.822  0.786
S  0.413  0.091  0.876
S  0.413  0.822  0.537
S  0.463  0.376  0.286
S  0.463  0.587  0.178
S  0.537  0.413  0.822
S  0.537  0.624  0.714
S  0.587  0.178  0.463
S  0.587  0.909  0.124
S  0.591  0.178  0.214
S  0.591  0.913  0.376
S  0.624  0.409  0.087
S  0.624  0.714  0.537
S  0.678  0.087  0.963
S  0.678  0.091  0.714
S  0.714  0.537  0.624
S  0.714  0.678  0.091
S  0.786  0.409  0.822
S  0.786  0.876  0.963
S  0.822  0.537  0.413
S  0.822  0.786  0.409
S  0.876  0.413  0.091
S  0.876  0.963  0.786
S  0.909  0.124  0.587
S  0.909  0.286  0.322
S  0.913  0.037  0.322
S  0.913  0.376  0.591
S  0.963  0.678  0.087
S  0.963  0.786  0.876

| no. | formation energy from raw total energies (eV per formula unit) |
| --- | --- |
| 1 | -7.7 |
| 2 | -29.1 |
| 3 | -5.9 |
| 4 | -26.3 |